1.
# Pu2ThCd | the Alexandria database | PBE | optimized geometry
data_Pu2ThCd
_chemical_formula_sum 'Pu2 Th1 Cd1'
_cell_length_a 4.622
_cell_length_b 4.622
_cell_length_c 5.105
_cell_angle_alpha 90.00
_cell_angle_beta 90.00
_cell_angle_gamma 90.00
_space_group_name_H-M_alt 'P 4/m m m'
_space_group_IT_number 123
_space_group_name_Hall '-P 4 2'
loop_
_atom_site_label
_atom_site_type_symbol
_atom_site_fract_x
_atom_site_fract_y
_atom_site_fract_z
_atom_site_occupancy
Pu1 Pu 0.000 0.500 0.000 1
Th1 Th 0.000 0.000 0.500 1
Cd1 Cd 0.500 0.500 0.500 1
# calculated formation energy = 0.079 eV per atom
# ΔE to the lowest computed polymorph = 0.0 meV/atom

2.
# MnCd3Ga | the Alexandria database | PBE | optimized geometry
data_MnCd3Ga
_chemical_formula_sum 'Mn1 Cd3 Ga1'
_cell_length_a 5.282
_cell_length_b 5.282
_cell_length_c 5.282
_cell_angle_alpha 90.00
_cell_angle_beta 90.00
_cell_angle_gamma 90.00
_space_group_name_H-M_alt 'P m -3 m'
_space_group_IT_number 221
_space_group_name_Hall '-P 4 2 3'
loop_
_atom_site_label
_atom_site_type_symbol
_atom_site_fract_x
_atom_site_fract_y
_atom_site_fract_z
_atom_site_occupancy
Mn1 Mn 0.000 0.000 0.000 1
Cd1 Cd 0.000 0.000 0.500 1
Ga1 Ga 0.500 0.500 0.500 1
# calculated formation energy = 0.583 eV per atom
# ΔE to the lowest computed polymorph = 0.0 meV/atom

3.
# AlTe2Br | the Alexandria database | PBE | optimized geometry
data_AlTe2Br
_chemical_formula_sum 'Al1 Te2 Br1'
_cell_length_a 5.641
_cell_length_b 5.641
_cell_length_c 3.287
_cell_angle_alpha 90.00
_cell_angle_beta 90.00
_cell_angle_gamma 90.00
_space_group_name_H-M_alt 'P 4/m m m'
_space_group_IT_number 123
_space_group_name_Hall '-P 4 2'
loop_
_atom_site_label
_atom_site_type_symbol
_atom_site_fract_x
_atom_site_fract_y
_atom_site_fract_z
_atom_site_occupancy
Al1 Al 0.000 0.000 0.000 1
Te1 Te 0.000 0.500 0.500 1
Br1 Br 0.500 0.500 0.000 1
# formation energy from raw total energies = 0.32 eV/atom
# ΔE to the lowest computed polymorph = 701.6 meV/atom

4.
# PmY4Er3 | the Alexandria database | PBE | optimized geometry
data_PmY4Er3
_chemical_formula_sum 'Pm1 Y4 Er3'
_cell_length_a 3.561
_cell_length_b 7.105
_cell_length_c 10.054
_cell_angle_alpha 90.00
_cell_angle_beta 90.00
_cell_angle_gamma 90.00
_space_group_name_H-M_alt 'P m m m'
_space_group_IT_number 47
_space_group_name_Hall '-P 2 2'
loop_
_atom_site_label
_atom_site_type_symbol
_atom_site_fract_x
_atom_site_fract_y
_atom_site_fract_z
_atom_site_occupancy
Pm1 Pm 0.000 0.000 0.000 1
Y1 Y 0.500 0.252 0.252 1
Er1 Er 0.000 0.000 0.500 1
Er2 Er 0.000 0.500 0.000 1
Er3 Er 0.000 0.500 0.500 1
# calculated formation energy = 0.026 eV per atom
# ΔE to the lowest computed polymorph = 21.9 meV/atom

- What is the ΔE to the lowest computed polymorph in the third record?
  701.6 meV/atom

- Look up the ΔE to the lowest computed polymorph of the second one.
  0.0 meV/atom

- Among the records above, which one has the highest ΔE to the lowest computed polymorph?
  AlTe2Br